Run a
Compound: CsIrS2Cl
Source: Alexandria
Functional: PBE
Structure: relaxed

```
data_CsIrS2Cl
_symmetry_space_group_name_H-M 'P 1'
_symmetry_Int_Tables_number 1
_cell_length_a 5.438
_cell_length_b 5.438
_cell_length_c 6.089
_cell_angle_alpha 90.00
_cell_angle_beta 90.00
_cell_angle_gamma 90.00
loop_
_symmetry_equiv_pos_as_xyz
'x,y,z'
loop_
_atom_site_label
_atom_site_fract_x
_atom_site_fract_y
_atom_site_fract_z
Ir1 0.500 0.500 0.500
Cs1 0.000 0.000 0.000
Cl1 0.000 0.000 0.500
S1 0.500 0.000 0.000
S2 0.000 0.500 0.000
```

Run b
Compound: CsIrS2Cl
Source: Alexandria
Functional: PBE
Structure: relaxed

```
data_CsIrS2Cl
_symmetry_space_group_name_H-M 'P 1'
_symmetry_Int_Tables_number 1
_cell_length_a 4.669
_cell_length_b 4.669
_cell_length_c 5.646
_cell_angle_alpha 90.00
_cell_angle_beta 90.00
_cell_angle_gamma 90.00
loop_
_symmetry_equiv_pos_as_xyz
'x,y,z'
loop_
_atom_site_label
_atom_site_fract_x
_atom_site_fract_y
_atom_site_fract_z
Cl1 0.000 0.000 0.500
S1 0.000 0.500 0.000
S2 0.500 0.000 0.000
Ir1 0.000 0.000 0.000
Cs1 0.500 0.500 0.500
```

The structure with the most favorable energy is run b; the runner-up is 214.6 kJ/mol of atoms above it.